# KAl2VO, optimized geometry, DFT PBE with a Hubbard U
data_KAl2VO
_chemical_formula_sum 'K1 Al2 V1 O1'
_space_group_name_H-M_alt 'P 4/m m m'
_space_group_IT_number 123
_space_group_name_Hall '-P 4 2'
_cell_length_a 5.005
_cell_length_b 5.005
_cell_length_c 6.986
_cell_angle_alpha 90.00
_cell_angle_beta 90.00
_cell_angle_gamma 90.00
loop_
_atom_site_label
_atom_site_fract_x
_atom_site_fract_y
_atom_site_fract_z
K1 0.000 0.000 0.000
Al1 0.000 0.500 0.500
V1 0.000 0.000 0.500
O1 0.500 0.500 0.000
# * total energy: -3.09 eV/atom